[1]
The following is a PBE-GGA calculation of crystalline SrAl4Ir2 at its relaxed geometry, from Alexandria.

abc: 5.3904 5.3904 5.5430
angles: 59.23 59.23 74.75
Closest atoms and distances in Å follow each position.
Element x y z (fractional)
Al1 0.6072 0.0003 0.6961  2 Al 2.57, 4 Ir 2.73-2.76, 1 Sr 2.81
Al2 0.9997 0.3928 0.3039  2 Al 2.57, 4 Ir 2.73-2.76, 1 Sr 2.81
Al3 0.3928 0.9997 0.3039  2 Al 2.57, 4 Ir 2.73-2.76, 1 Sr 2.81
Al4 0.0003 0.6072 0.6961  2 Al 2.57, 4 Ir 2.73-2.76, 1 Sr 2.81
Ir1 0.4969 0.4969 0.7532  8 Al 2.73-2.76, 2 Ir 2.77
Ir2 0.5031 0.5031 0.2468  8 Al 2.73-2.76, 2 Ir 2.77
Sr1 0.0000 0.0000 0.0000  4 Al 2.81

## Properties
space group = C2/m (12)
DFT total energy = -5.37 eV per atom
ΔE_f = -0.46 eV per atom

[2]
The following is a PBE-GGA calculation of crystalline NdAl8Co4 at its relaxed geometry, from Alexandria.

abc: 5.1252 6.6017 6.6017
angles: 81.33 67.16 67.16
Closest atoms and distances in Å follow each position.
Element x y z (fractional)
Nd1 0.0000 0.0000 0.0000  12 Al 2.94-3.21
Al1 0.7246 0.7754 0.7754  4 Co 2.51, 6 Al 2.73-2.75
Al2 0.5000 0.7754 0.2246  4 Co 2.51, 6 Al 2.73-2.75
Al3 0.0000 0.6584 0.3416  4 Co 2.62, 5 Al 2.73-2.75, 1 Nd 2.94
Al4 0.3416 0.6584 0.6584  4 Co 2.62, 5 Al 2.73-2.75, 1 Nd 2.94
Al5 0.6584 0.3416 0.3416  4 Co 2.62, 5 Al 2.73-2.75, 1 Nd 2.94
Al6 0.2754 0.2246 0.2246  4 Co 2.51, 6 Al 2.73-2.75
Al7 0.5000 0.2246 0.7754  4 Co 2.51, 6 Al 2.73-2.75
Al8 0.0000 0.3416 0.6584  4 Co 2.62, 5 Al 2.73-2.75, 1 Nd 2.94
Co1 0.0000 0.0000 0.5000  8 Al 2.51-2.62, 2 Co 2.56
Co2 0.5000 0.5000 0.0000  8 Al 2.51-2.62, 2 Co 2.56
Co3 0.0000 0.5000 0.0000  8 Al 2.51-2.62, 2 Co 2.56
Co4 0.5000 0.0000 0.5000  8 Al 2.51-2.62, 2 Co 2.56

## Properties
space group = I4/mmm (139)
DFT total energy = -5.34 eV per atom
ΔE_f = -0.49 eV per atom

[3]
The following is a PBE-GGA calculation of crystalline Tb2GdPu at its relaxed geometry, from Alexandria.

abc: 3.5159 3.5159 11.6999
angles: 81.36 81.36 60.00
Closest atoms and distances in Å follow each position.
Element x y z (fractional)
Tb1 0.2516 0.2516 0.2451  3 Pu 3.48, 6 Tb 3.52, 3 Gd 3.57
Tb2 0.7484 0.7484 0.7549  3 Pu 3.48, 6 Tb 3.52, 3 Gd 3.57
Pu1 0.0000 0.0000 0.0000  6 Tb 3.48, 6 Pu 3.52
Gd1 0.5000 0.5000 0.5000  6 Gd 3.52, 6 Tb 3.57

## Properties
space group = R-3m (166)
DFT total energy = -9.31 eV per atom
ΔE_f = 0.11 eV per atom

[4]
The following is a PBE-GGA calculation of crystalline InH2S at its relaxed geometry, from Alexandria.

abc: 5.4135 5.4135 5.4185
angles: 60.03 60.03 90.00
Closest atoms and distances in Å follow each position.
Element x y z (fractional)
H1 0.3751 0.6250 0.2500  2 S 1.66
H2 0.3750 0.6251 0.7500  2 S 1.66
H3 0.8750 0.6249 0.7500  2 S 1.66
H4 0.3749 0.1250 0.2500  2 S 1.66
In1 0.7500 0.2500 0.5000  12 H 3.17-3.18, 4 In 3.32, 4 S 3.32
In2 0.0000 0.0000 0.0000  12 H 3.17-3.18, 4 S 3.32, 4 In 3.32
S1 0.5000 0.5000 0.0000  4 H 1.66
S2 0.2500 0.7500 0.5000  4 H 1.66

## Properties
space group = Fd-3m (227)
DFT total energy = -3.12 eV per atom

| no. | size of the total moment (Bohr magnetons per cell) |
| --- | --- |
| 1 | 0.00 |
| 2 | 0.00 |
| 3 | 13.53 |
| 4 | 1.38 |